Computed, not measured: Rb3MoI2F6 after structural relaxation at the PBE+U level of DFT.

a = 8.461 Å, b = 8.461 Å, c = 6.710 Å
α = 90.13°, β = 90.13°, γ = 47.93°
Sites, in units of the cell vectors:
Rb1 0.000 0.000 0.000
Rb2 0.000 0.500 0.500
Rb3 0.500 0.000 0.500
Mo1 0.500 0.500 0.500
I1 0.243 0.243 0.989
I2 0.757 0.757 0.011
F1 0.258 0.673 0.691
F2 0.327 0.742 0.309
F3 0.374 0.374 0.401
F4 0.626 0.626 0.599
F5 0.673 0.258 0.691
F6 0.742 0.327 0.309

## Properties
For the raw total energy, the calculation gives -50.9 eV per cell. The space-group type is C2/m, No. 12.